1.
A plane-wave DFT calculation with PBE was carried out for SrTiP after structural relaxation.

a = 3.9645 Å, b = 3.9645 Å, c = 9.6389 Å
α = 90.00°, β = 90.00°, γ = 90.00°
Closest atoms and distances in Å follow each position.
Space group P4/nmm (No. 129, origin choice 2)
One atom of each set of equivalent atoms:
Sr 0.2500 0.2500 0.1884 x2  4 P 3.14
Ti 0.2500 0.7500 0.5000 x2  4 P 2.54, 4 Ti 2.80
P 0.2500 0.2500 0.6642 x2  4 Ti 2.54

Calculated values
Energy relative to the elements in eV per atom: -0.909

---

2.
A plane-wave DFT calculation with PBE was carried out for Co2PdW2 after structural relaxation.

a = 7.0919 Å, b = 7.0919 Å, c = 2.7401 Å
α = 90.00°, β = 90.00°, γ = 90.00°
Closest atoms and distances in Å follow each position.
Space group P4/mbm (No. 127)
One atom of each set of equivalent atoms:
Co 0.1262 0.3738 0.0000 x4  6 W 2.47-2.52, 3 Co 2.53-2.74
Pd 0.0000 0.0000 0.0000 x2  2 Pd 2.74, 4 Co 2.80, 8 W 2.97
W 0.1689 0.6689 0.5000 x4  6 Co 2.47-2.52, 2 W 2.74

Calculated values
Energy relative to the elements in eV per atom: 0.080
E above lowest polymorph in meV per atom: 0